Record 1
This record from the Alexandria database describes LaPm2SmY after structural relaxation. The functional is PBE-GGA. Values from VASP.

```
&SYSTEM
  ibrav = 0, nat = 10, ntyp = 4
/
ATOMIC_SPECIES
La 138.91 La.upf
Pm 145.00 Pm.upf
Sm 150.36 Sm.upf
Y 88.91 Y.upf
CELL_PARAMETERS angstrom
8.494 0.000 0.000
0.000 6.613 0.000
-0.617 0.000 6.304
ATOMIC_POSITIONS angstrom
La 0.000 0.000 0.000
La -0.308 0.000 3.152
Pm 2.513 2.068 1.376
Pm 2.205 4.546 4.528
Pm 5.673 2.068 1.776
Pm 5.364 4.546 4.928
Sm -0.462 2.878 4.728
Sm -0.154 3.736 1.576
Y 3.785 1.096 4.728
Y 4.093 5.517 1.576
```

Properties
The formation energy from the elements comes out at 25 kJ per mole of atoms. Its calculated volume is 354.1 Å³/cell. As for the spin magnetization: 0.00 μB/f.u.



Record 2
This record from the Alexandria database describes LaPmSmY3 after structural relaxation. The functional is PBE-GGA. Values from VASP.

```
&SYSTEM
  ibrav = 0, nat = 12, ntyp = 4
/
ATOMIC_SPECIES
La 138.91 La.upf
Pm 145.00 Pm.upf
Sm 150.36 Sm.upf
Y 88.91 Y.upf
CELL_PARAMETERS angstrom
10.080 -2.833 0.000
10.080 2.833 0.000
-0.034 0.000 7.133
ATOMIC_POSITIONS angstrom
La 2.941 0.000 0.297
La 17.185 0.000 6.835
Pm 2.963 0.000 3.288
Pm 17.163 0.000 3.845
Sm 8.944 0.000 5.290
Sm 11.182 0.000 1.842
Y 0.462 0.000 5.316
Y 5.580 0.000 5.366
Y 6.825 0.000 1.843
Y 13.301 0.000 5.289
Y 14.547 0.000 1.767
Y 19.664 0.000 1.817
```

Properties
The formation energy from the elements comes out at 18 kJ per mole of atoms. Its calculated volume is 407.4 Å³/cell. As for the spin magnetization: 0.00 μB/f.u.



Record 3
This record from the Alexandria database describes La3PmSm2Y6 after structural relaxation. The functional is PBE-GGA. Values from VASP.

```
&SYSTEM
  ibrav = 0, nat = 12, ntyp = 4
/
ATOMIC_SPECIES
La 138.91 La.upf
Pm 145.00 Pm.upf
Sm 150.36 Sm.upf
Y 88.91 Y.upf
CELL_PARAMETERS angstrom
3.154 -5.463 0.000
3.154 5.463 0.000
-2.099 0.000 11.725
ATOMIC_POSITIONS angstrom
La 0.000 0.000 0.000
La 3.154 1.822 0.000
La 3.154 -1.822 0.000
Pm 2.104 0.000 5.863
Sm 2.104 3.641 5.863
Sm 2.104 -3.641 5.863
Y 1.053 1.821 2.965
Y 0.001 0.000 8.761
Y 1.053 -1.821 2.965
Y 3.155 1.821 8.761
Y 4.207 0.000 2.964
Y 3.155 -1.821 8.761
```

Properties
The formation energy from the elements comes out at 1 kJ per mole of atoms. Its calculated volume is 404.0 Å³/cell. As for the spin magnetization: 0.00 μB/f.u.



Record 4
This record from the Alexandria database describes La2PmSm2Y6 after structural relaxation. The functional is PBE-GGA. Values from VASP.

```
&SYSTEM
  ibrav = 0, nat = 11, ntyp = 4
/
ATOMIC_SPECIES
La 138.91 La.upf
Pm 145.00 Pm.upf
Sm 150.36 Sm.upf
Y 88.91 Y.upf
CELL_PARAMETERS angstrom
2.881 -6.087 0.000
2.881 6.087 0.000
0.000 0.000 10.613
ATOMIC_POSITIONS angstrom
La 2.881 3.508 0.000
La 2.881 -3.508 0.000
Pm 2.881 0.000 0.000
Sm 2.881 4.507 5.307
Sm 2.881 -4.507 5.307
Y 0.000 0.000 2.187
Y 0.000 0.000 8.427
Y 2.881 1.827 3.214
Y 2.881 1.827 7.400
Y 2.881 -1.827 3.214
Y 2.881 -1.827 7.400
```

Properties
The formation energy from the elements comes out at 13 kJ per mole of atoms. Its calculated volume is 372.3 Å³/cell. As for the spin magnetization: 0.00 μB/f.u.